# LiYPd, relaxed, DFT PBE-GGA
data_LiYPd
_chemical_formula_sum 'Li4 Y4 Pd4'
_symmetry_space_group_name_H-M 'F -4 3 m'
_symmetry_Int_Tables_number 216
_symmetry_space_group_name_Hall 'F -4 2 3'
_cell_length_a 6.2324
_cell_length_b 6.2324
_cell_length_c 6.2324
_cell_angle_alpha 90.00
_cell_angle_beta 90.00
_cell_angle_gamma 90.00
loop_
_atom_site_label
_atom_site_fract_x
_atom_site_fract_y
_atom_site_fract_z
Li1 0.0000 0.0000 0.0000
Y1 0.2500 0.2500 0.2500
Pd1 0.2500 0.2500 0.7500
# Electronic total energy (eV/atom): -4.71
# V (Å³/atom): 20.2
# Spin magnetization (μB per formula unit): 0.075
# E above lowest polymorph (meV/atom): 0

# LiZn2Pd, relaxed, DFT PBE-GGA
data_LiZn2Pd
_chemical_formula_sum 'Li2 Zn4 Pd2'
_symmetry_space_group_name_H-M 'P 63/m m c'
_symmetry_Int_Tables_number 194
_symmetry_space_group_name_Hall '-P 6c 2c'
_cell_length_a 4.2970
_cell_length_b 4.2970
_cell_length_c 7.8790
_cell_angle_alpha 90.00
_cell_angle_beta 90.00
_cell_angle_gamma 120.00
loop_
_atom_site_label
_atom_site_fract_x
_atom_site_fract_y
_atom_site_fract_z
Li1 0.3333 0.6667 0.2500
Zn1 0.3333 0.6667 0.5866
Pd1 0.0000 0.0000 0.0000
# Electronic total energy (eV/atom): -2.70
# V (Å³/atom): 15.7
# E above lowest polymorph (meV/atom): 163

# LiZn2Pd, relaxed, DFT PBE-GGA
data_LiZn2Pd
_chemical_formula_sum 'Li2 Zn4 Pd2'
_symmetry_space_group_name_H-M 'P 63/m m c'
_symmetry_Int_Tables_number 194
_symmetry_space_group_name_Hall '-P 6c 2c'
_cell_length_a 4.1958
_cell_length_b 4.1958
_cell_length_c 7.6856
_cell_angle_alpha 90.00
_cell_angle_beta 90.00
_cell_angle_gamma 120.00
loop_
_atom_site_label
_atom_site_fract_x
_atom_site_fract_y
_atom_site_fract_z
Li1 0.3333 0.6667 0.2500
Zn1 0.3333 0.6667 0.5815
Pd1 0.0000 0.0000 0.2500
# Electronic total energy (eV/atom): -2.57
# V (Å³/atom): 14.6
# E above lowest polymorph (meV/atom): 292

# LiZn2Pd, relaxed, DFT PBE-GGA
data_LiZn2Pd
_chemical_formula_sum 'Li1 Zn2 Pd1'
_symmetry_space_group_name_H-M 'P 4/m m m'
_symmetry_Int_Tables_number 123
_symmetry_space_group_name_Hall '-P 4 2'
_cell_length_a 3.8662
_cell_length_b 3.8662
_cell_length_c 3.7450
_cell_angle_alpha 90.00
_cell_angle_beta 90.00
_cell_angle_gamma 90.00
loop_
_atom_site_label
_atom_site_fract_x
_atom_site_fract_y
_atom_site_fract_z
Li1 0.0000 0.0000 0.0000
Zn1 0.0000 0.5000 0.5000
Pd1 0.5000 0.5000 0.0000
# Electronic total energy (eV/atom): -2.83
# V (Å³/atom): 14.0
# E above lowest polymorph (meV/atom): 35

# LiZn2Pd, relaxed, DFT PBE-GGA
data_LiZn2Pd
_chemical_formula_sum 'Li4 Zn8 Pd4'
_symmetry_space_group_name_H-M 'F m -3 m'
_symmetry_Int_Tables_number 225
_symmetry_space_group_name_Hall '-F 4 2 3'
_cell_length_a 6.0697
_cell_length_b 6.0697
_cell_length_c 6.0697
_cell_angle_alpha 90.00
_cell_angle_beta 90.00
_cell_angle_gamma 90.00
loop_
_atom_site_label
_atom_site_fract_x
_atom_site_fract_y
_atom_site_fract_z
Li1 0.0000 0.0000 0.0000
Zn1 0.2500 0.2500 0.2500
Pd1 0.0000 0.0000 0.5000
# Electronic total energy (eV/atom): -2.86
# V (Å³/atom): 14.0
# E above lowest polymorph (meV/atom): 0

# LiZn2Pd, relaxed, DFT PBE-GGA
data_LiZn2Pd
_chemical_formula_sum 'Li1 Zn2 Pd1'
_symmetry_space_group_name_H-M 'P 4/m m m'
_symmetry_Int_Tables_number 123
_symmetry_space_group_name_Hall '-P 4 2'
_cell_length_a 3.8903
_cell_length_b 3.8903
_cell_length_c 3.6978
_cell_angle_alpha 90.00
_cell_angle_beta 90.00
_cell_angle_gamma 90.00
loop_
_atom_site_label
_atom_site_fract_x
_atom_site_fract_y
_atom_site_fract_z
Li1 0.0000 0.0000 0.0000
Zn1 0.0000 0.5000 0.5000
Pd1 0.5000 0.5000 0.0000
# Electronic total energy (eV/atom): -2.83
# V (Å³/atom): 14.0
# E above lowest polymorph (meV/atom): 36